Entry 1:
Entry from Alexandria via LeMat-Bulk: a relaxed structure of LiCeZnF6 (PBE).

Cell: 5.6916 5.6916 8.8109 Å, 90.00 90.00 120.00°
Site moments in Bohr magnetons follow the coordinates.
Positions (direct):
F  0.0345  0.3489  0.6249  0.00
F  0.6511  0.9655  0.8751  0.00
F  0.6856  0.6511  0.1249  0.00
F  0.9655  0.3144  0.1249  0.00
F  0.0345  0.6856  0.8751  0.00
F  0.3144  0.9655  0.6249  0.00
F  0.3489  0.3144  0.3751  0.00
F  0.6511  0.6856  0.6249  0.00
F  0.3489  0.0345  0.1249  0.00
F  0.6856  0.0345  0.3751  0.00
F  0.9655  0.6511  0.3751  0.00
F  0.3144  0.3489  0.8751  0.00
Ce  0.3333  0.6667  0.2500  0.97
Ce  0.6667  0.3333  0.7500  0.97
Zn  0.6667  0.3333  0.2500  0.00
Zn  0.3333  0.6667  0.7500  0.00
Li  0.0000  0.0000  0.0000  0.00
Li  0.0000  0.0000  0.5000  0.00

Results
Formation energy from raw total energies, eV per atom: -3.087
Magnetization, μB per atom: 0.1112

Entry 2:
Entry from Alexandria via LeMat-Bulk: a relaxed structure of CeMgF5 (PBE).

Cell: 5.7257 5.7257 7.8636 Å, 70.11 70.11 71.98°
Site moments in Bohr magnetons follow the coordinates.
Positions (direct):
F  0.7887  0.7434  0.1192  -0.01
F  0.3105  0.7103  0.0320  0.00
F  0.2566  0.2113  0.3808  -0.01
F  0.7434  0.7887  0.6192  -0.01
F  0.2113  0.2566  0.8808  -0.01
F  0.2897  0.6895  0.4680  0.00
F  0.7103  0.3105  0.5320  0.00
F  0.0836  0.9164  0.7500  0.00
F  0.9164  0.0836  0.2500  0.00
F  0.6895  0.2897  0.9680  0.00
Mg  0.0000  0.0000  0.5000  0.00
Mg  0.0000  0.0000  0.0000  0.00
Ce  0.4461  0.5539  0.7500  0.97
Ce  0.5539  0.4461  0.2500  0.97

Results
Formation energy from raw total energies, eV per atom: -3.776
Magnetization, μB per atom: 0.1429

Entry 3:
Entry from Alexandria via LeMat-Bulk: a relaxed structure of CeMg2F8 (PBE).

Cell: 5.3398 5.3398 6.5112 Å, 114.21 114.21 90.00°
Positions (direct):
F  0.1881  0.0827  0.7419
F  0.3407  0.4462  0.2581
F  0.5538  0.6593  0.7419
F  0.0827  0.5538  0.7419
F  0.9173  0.8119  0.2581
F  0.8119  0.3407  0.2581
F  0.6593  0.1881  0.7419
F  0.4462  0.9173  0.2581
Mg  0.2500  0.7500  0.5000
Mg  0.7500  0.2500  0.5000
Ce  0.5000  0.5000  0.0000

Results
Formation energy from raw total energies, eV per atom: -3.501
Magnetization, μB per atom: 0.0000